No. 1
Computed, not measured: a relaxed structure of K2TlAu2 at the PBE-GGA level of DFT.

Output
* ΔH_f (0 K): -0.2824 eV/atom
* energy above the most stable polymorph in this dataset: 0 meV per atom

Lattice parameters (Å, degrees): 6.5917 6.5917 8.6705 102.07 102.07 59.49
Positions (direct):
K: 0.0088 0.2832 0.1408
K: 0.2832 0.0088 0.6408
K: 0.7168 0.9912 0.3592
K: 0.9912 0.7168 0.8592
Tl: 0.3774 0.6226 0.2500
Tl: 0.6226 0.3774 0.7500
Au: 0.2146 0.4982 0.5018
Au: 0.4982 0.2146 0.0018
Au: 0.5018 0.7854 0.9982
Au: 0.7854 0.5018 0.4982

---

No. 2
Computed, not measured: a relaxed structure of CoCu2TeC at the PBE-GGA level of DFT.

Output
* ΔE_f (raw): 0.868 eV per atom

Lattice parameters (Å, degrees): 4.6636 4.6636 3.5215 90.00 90.00 90.00
Positions (direct):
Co: 0.0000 0.0000 0.0000
Cu: 0.0000 0.5000 0.0000
Cu: 0.5000 0.0000 0.0000
Te: 0.5000 0.5000 0.5000
C: 0.0000 0.0000 0.5000

---

No. 3
Computed, not measured: a relaxed structure of Na2ZrMn at the PBE-GGA level of DFT.

Output
* ΔH_f (0 K): 0.6915 eV/atom
* energy above the most stable polymorph in this dataset: 0 meV per atom

Lattice parameters (Å, degrees): 12.2055 12.2055 12.2055 162.45 162.45 24.91
Positions (direct):
Na: 0.1108 0.6250 0.9858
Na: 0.3750 0.3608 0.4858
Na: 0.6392 0.1250 0.0142
Na: 0.8750 0.8892 0.5142
Zr: 0.2500 0.7500 0.5000
Zr: 0.5000 0.5000 0.0000
Mn: 0.0000 0.0000 0.0000
Mn: 0.7500 0.2500 0.5000

---

No. 4
Computed, not measured: a relaxed structure of BaNaSbTe2 at the PBE-GGA level of DFT.

Output
* ΔE_f (raw): -0.347 eV per atom
* energy above the most stable polymorph in this dataset: 0 meV per atom

Lattice parameters (Å, degrees): 5.7436 5.7436 5.3940 90.00 90.00 90.00
Positions (direct):
Ba: 0.0000 0.0000 0.0000
Na: 0.5000 0.5000 0.5000
Sb: 0.5000 0.5000 0.0000
Te: 0.0000 0.5000 0.5000
Te: 0.5000 0.0000 0.5000

---

No. 5
Computed, not measured: a relaxed structure of RePPbO2 at the PBE-GGA level of DFT.

Output
* ΔE_f (raw): -0.643 eV per atom
* energy above the most stable polymorph in this dataset: 0 meV per atom

Lattice parameters (Å, degrees): 3.9239 3.9239 5.1240 90.00 90.00 90.00
Positions (direct):
Re: 0.0000 0.0000 0.0000
P: 0.0000 0.0000 0.5000
Pb: 0.5000 0.5000 0.5000
O: 0.0000 0.5000 0.0000
O: 0.5000 0.0000 0.0000

---

No. 6
Computed, not measured: a relaxed structure of KGeBiAu3 at the PBE-GGA level of DFT.

Output
* ΔH_f (0 K): -0.1502 eV/atom

Lattice parameters (Å, degrees): 7.2742 7.2742 7.9336 91.42 91.42 120.37
Positions (direct):
K: 0.2254 0.7746 0.7500
K: 0.7746 0.2254 0.2500
Ge: 0.0697 0.9303 0.2500
Ge: 0.9303 0.0697 0.7500
Bi: 0.4863 0.5137 0.2500
Bi: 0.5137 0.4863 0.7500
Au: 0.1861 0.2126 0.4938
Au: 0.2126 0.1861 0.9938
Au: 0.2662 0.7338 0.2500
Au: 0.7338 0.2662 0.7500
Au: 0.7874 0.8139 0.0062
Au: 0.8139 0.7874 0.5062

---

> Which formula does entry 2 have?

CoCu2TeC

---

> Number 3 is which compound?

Na2ZrMn